## DyAsRh2 (GGA-PBE)

Data for crystalline DyAsRh2 at its relaxed geometry.

Computed properties:
- M_tot: 0.0 μB per cell
- E_form: -808 meV/atom
- Calculated volume: 146.5 Å³ per cell

POSCAR file:
```
DyAsRh2
1.0
-2.530 -0.521 -2.947
1.750 -3.388 -0.903
-5.913 -4.624 5.894
Dy As Rh
2 2 4
Direct
0.500 0.000 0.208
0.000 0.500 0.792
0.500 0.000 0.658
0.000 0.500 0.342
0.500 0.000 0.911
0.000 0.500 0.089
0.000 0.000 0.500
0.500 0.500 0.500
```